Computed, not measured: a relaxed structure of Mn4CdRe at the PBE level of DFT.

Values from the calculation:
Energy relative to the elements ... 5.7 kcal/mol of atoms

Lattice parameters (Å, degrees): 6.776 6.776 6.776 90.00 90.00 90.00
Space group F-43m (No. 216)
Unique sites:
Mn (0.124, 0.124, 0.376) [16 per cell]
Cd (0.250, 0.250, 0.750) [4 per cell]
Re (0.000, 0.000, 0.000) [4 per cell]

***

Computed, not measured: a relaxed structure of Zr4Pa3Se12 at the PBE level of DFT.

Values from the calculation:
Raw formation energy ... -1985 kJ/mol of formula units

Lattice parameters (Å, degrees): 10.261 10.261 10.261 90.00 90.00 90.00
Space group Im-3 (No. 204)
Unique sites:
Zr (0.250, 0.250, 0.250) [8 per cell]
Pa (0.000, 0.000, 0.500) [6 per cell]
Se (0.000, 0.308, 0.203) [24 per cell]

***

V in Å³/atom, matching the order above: 12.96; 28.43